# 1
A plane-wave DFT calculation with PBE was carried out for a relaxed CeHoMgRe crystal.

Lattice parameters (Å, degrees): 5.0377 5.0377 5.0377 60.00 60.00 60.00
Last column: nearest neighbours and their distance in Å.
Sites, in units of the cell vectors:
Mg: 0.0000 0.0000 0.0000  4 Ce 3.08, 4 Ho 3.08
Ho: 0.2500 0.2500 0.2500  4 Re 3.08, 4 Mg 3.08
Re: 0.5000 0.5000 0.5000  4 Ce 3.08, 4 Ho 3.08
Ce: 0.7500 0.7500 0.7500  4 Mg 3.08, 4 Re 3.08

Summary:
calculated total energy: -24.11 eV per cell
formation enthalpy at 0 K: 0.11 eV/atom

# 2
A plane-wave DFT calculation with PBE was carried out for a relaxed Hf3AgMo2 crystal.

Lattice parameters (Å, degrees): 3.3650 3.3650 10.0560 90.00 90.00 90.00
Last column: nearest neighbours and their distance in Å.
Sites, in units of the cell vectors:
Hf: 0.0000 0.0000 0.6847  4 Mo 2.80, 4 Ag 3.02
Hf: 0.0000 0.0000 0.3153  4 Mo 2.80, 4 Ag 3.02
Hf: 0.0000 0.0000 0.0000  8 Mo 2.92, 2 Hf 3.17
Ag: 0.5000 0.5000 0.5000  8 Hf 3.02, 2 Mo 3.34, 4 Ag 3.36
Mo: 0.5000 0.5000 0.1679  8 Hf 2.80-2.92
Mo: 0.5000 0.5000 0.8321  8 Hf 2.80-2.92

Summary:
calculated total energy: -54.86 eV per cell
formation enthalpy at 0 K: -0.08 eV/atom

Q: formation enthalpy at 0 K of number 1 (CeHoMgRe)?
A: 0.11 eV/atom

What did the first record say?
A plane-wave DFT calculation with PBE was carried out for a relaxed CeHoMgRe crystal.

Lattice parameters (Å, degrees): 5.0377 5.0377 5.0377 60.00 60.00 60.00
Last column: nearest neighbours and their distance in Å.
Sites, in units of the cell vectors:
Mg: 0.0000 0.0000 0.0000  4 Ce 3.08, 4 Ho 3.08
Ho: 0.2500 0.2500 0.2500  4 Re 3.08, 4 Mg 3.08
Re: 0.5000 0.5000 0.5000  4 Ce 3.08, 4 Ho 3.08
Ce: 0.7500 0.7500 0.7500  4 Mg 3.08, 4 Re 3.08

Summary:
calculated total energy: -24.11 eV per cell
formation enthalpy at 0 K: 0.11 eV/atom

Q: The highest formation enthalpy at 0 K belongs to which entry?
A: CeHoMgRe

Q: What is the formation enthalpy at 0 K in the second record?
A: -0.08 eV/atom